(1)
Here is a relaxed structure of PuSc2AlAu4 from Alexandria. Energies are from PBE.

**M_tot**: 5.95 μB/f.u.
**DFT total energy**: -6.07 eV per atom
**Energy relative to the elements**: -0.585 eV per atom
**Density of states at the Fermi level**: 14.4 states/eV/f.u.
**Space-group type**: R-3m

a b c (Å): 4.712 4.712 8.861
angles (deg): 74.58 74.58 60.00
Each line ends with the local moment (μB).
Positions (direct):
Au (0.393, 0.393, 0.821)  0.02
Au (0.128, 0.128, 0.615)  0.02
Au (0.607, 0.607, 0.179)  0.02
Au (0.872, 0.872, 0.385)  0.02
Pu (0.000, 0.000, 0.000)  5.33
Al (0.500, 0.500, 0.500)  -0.01
Sc (0.756, 0.756, 0.731)  0.09
Sc (0.244, 0.244, 0.269)  0.09

---

(2)
Here is a relaxed structure of Pu2ScAlAu6 from Alexandria. Energies are from PBE.

**M_tot**: 11.82 μB/f.u.
**DFT total energy**: -6.20 eV per atom
**Energy relative to the elements**: -0.359 eV per atom
**Density of states at the Fermi level**: 25.8 states/eV/f.u.
**Space-group type**: P-1

a b c (Å): 5.482 8.587 7.589
angles (deg): 51.54 70.98 102.03
Each line ends with the local moment (μB).
Positions (direct):
Au (0.260, 0.757, 0.011)  0.02
Au (0.257, 0.422, 0.478)  0.01
Au (0.975, 0.948, 0.718)  0.01
Au (0.740, 0.243, 0.989)  0.02
Au (0.743, 0.578, 0.522)  0.01
Au (0.025, 0.052, 0.282)  0.01
Al (0.000, 0.000, 0.000)  -0.01
Sc (0.500, 0.500, 0.000)  0.23
Pu (0.290, 0.745, 0.563)  5.39
Pu (0.710, 0.255, 0.437)  5.39